# KRb3Ag3 | Alexandria via LeMat-Bulk | PBE | relaxed
# N(E_F) = 4.52 states/eV/f.u.
# Total DFT energy (no corrections) = -1.539 eV per atom
# SG = Pm-3n (223)
# ΔE_f = 254 meV per atom
data_KRb3Ag3
_symmetry_space_group_name_H-M 'P 1'
_symmetry_Int_Tables_number 1
_cell_length_a 9.7850
_cell_length_b 9.7850
_cell_length_c 9.7850
_cell_angle_alpha 90.00
_cell_angle_beta 90.00
_cell_angle_gamma 90.00
loop_
_symmetry_equiv_pos_as_xyz
'x,y,z'
loop_
_atom_site_label
_atom_site_type_symbol
_atom_site_fract_x
_atom_site_fract_y
_atom_site_fract_z
K1 K 0.5000 0.5000 0.5000
K2 K 0.0000 0.0000 0.0000
Rb1 Rb 0.0000 0.2500 0.5000
Rb2 Rb 0.0000 0.7500 0.5000
Rb3 Rb 0.5000 0.0000 0.7500
Rb4 Rb 0.7500 0.5000 0.0000
Rb5 Rb 0.5000 0.0000 0.2500
Rb6 Rb 0.2500 0.5000 0.0000
Ag1 Ag 0.2500 0.0000 0.5000
Ag2 Ag 0.0000 0.5000 0.2500
Ag3 Ag 0.5000 0.7500 0.0000
Ag4 Ag 0.7500 0.0000 0.5000
Ag5 Ag 0.0000 0.5000 0.7500
Ag6 Ag 0.5000 0.2500 0.0000

=====

# LaMn2W | Alexandria via LeMat-Bulk | PBE | relaxed
# N(E_F) = 3.99 states/eV/f.u.
# ΔE to the lowest computed polymorph = 412.3 meV per atom
# Total DFT energy (no corrections) = -8.352 eV per atom
# SG = F-43m (216)
# ΔE_f = 703 meV per atom
data_LaMn2W
_symmetry_space_group_name_H-M 'P 1'
_symmetry_Int_Tables_number 1
_cell_length_a 4.6413
_cell_length_b 4.6413
_cell_length_c 4.6413
_cell_angle_alpha 120.01
_cell_angle_beta 120.01
_cell_angle_gamma 89.98
loop_
_symmetry_equiv_pos_as_xyz
'x,y,z'
loop_
_atom_site_label
_atom_site_type_symbol
_atom_site_fract_x
_atom_site_fract_y
_atom_site_fract_z
La1 La 0.7500 0.2500 0.5000
Mn1 Mn 0.0000 0.0000 0.0000
Mn2 Mn 0.2500 0.7500 0.5000
W1 W 0.5000 0.5000 0.0000

=====

# Th2UP3Ir4 | Alexandria via LeMat-Bulk | PBE | relaxed
# N(E_F) = 10.46 states/eV/f.u.
# Total DFT energy (no corrections) = -8.651 eV per atom
# SG = P-4m2 (115)
# ΔE_f = -871 meV per atom
data_Th2UP3Ir4
_symmetry_space_group_name_H-M 'P 1'
_symmetry_Int_Tables_number 1
_cell_length_a 4.0341
_cell_length_b 4.0341
_cell_length_c 11.3954
_cell_angle_alpha 90.00
_cell_angle_beta 90.00
_cell_angle_gamma 90.00
loop_
_symmetry_equiv_pos_as_xyz
'x,y,z'
loop_
_atom_site_label
_atom_site_type_symbol
_atom_site_fract_x
_atom_site_fract_y
_atom_site_fract_z
Th1 Th 0.5000 0.0000 0.2291
Th2 Th 0.0000 0.5000 0.7709
U1 U 0.5000 0.5000 0.5000
P1 P 0.0000 0.0000 0.5000
P2 P 0.5000 0.0000 0.8786
P3 P 0.0000 0.5000 0.1214
Ir1 Ir 0.5000 0.5000 0.0000
Ir2 Ir 0.0000 0.0000 0.0000
Ir3 Ir 0.5000 0.0000 0.6723
Ir4 Ir 0.0000 0.5000 0.3277

=====

# Tb2Sm5Y3 | Alexandria via LeMat-Bulk | PBE | relaxed
# N(E_F) = 19.55 states/eV/f.u.
# Total DFT energy (no corrections) = -5.031 eV per atom
# SG = C2/c (15)
# ΔE_f = 194 meV per atom
data_Tb2Sm5Y3
_symmetry_space_group_name_H-M 'P 1'
_symmetry_Int_Tables_number 1
_cell_length_a 9.8975
_cell_length_b 9.8559
_cell_length_c 11.2442
_cell_angle_alpha 128.19
_cell_angle_beta 128.27
_cell_angle_gamma 65.85
loop_
_symmetry_equiv_pos_as_xyz
'x,y,z'
loop_
_atom_site_label
_atom_site_type_symbol
_atom_site_fract_x
_atom_site_fract_y
_atom_site_fract_z
Tb1 Tb 0.7709 0.0359 0.7540
Tb2 Tb 0.2291 0.9641 0.2460
Tb3 Tb 0.4831 0.7181 0.7540
Tb4 Tb 0.5169 0.2819 0.2460
Sm1 Sm 0.2728 0.5228 0.0457
Sm2 Sm 0.7272 0.4772 0.9543
Sm3 Sm 0.0246 0.7746 0.5491
Sm4 Sm 0.5178 0.2678 0.5356
Sm5 Sm 0.9754 0.2254 0.4509
Sm6 Sm 0.4822 0.7322 0.4644
Sm7 Sm 0.8932 0.6426 0.7557
Sm8 Sm 0.1068 0.3574 0.2443
Sm9 Sm 0.3625 0.1131 0.7557
Sm10 Sm 0.6375 0.8869 0.2443
Y1 Y 0.2251 0.9751 0.9502
Y2 Y 0.7749 0.0249 0.0498
Y3 Y 0.7178 0.4840 0.2525
Y4 Y 0.2822 0.5160 0.7475
Y5 Y 0.0348 0.7686 0.2525
Y6 Y 0.9652 0.2314 0.7475

=====

# RbGa3Tc | Alexandria via LeMat-Bulk | PBE | relaxed
# N(E_F) = 3.62 states/eV/f.u.
# ΔE to the lowest computed polymorph = 299.7 meV per atom
# Total DFT energy (no corrections) = -3.927 eV per atom
# SG = P2_1/m (11)
# ΔE_f = 156 meV per atom
data_RbGa3Tc
_symmetry_space_group_name_H-M 'P 1'
_symmetry_Int_Tables_number 1
_cell_length_a 6.9021
_cell_length_b 5.4389
_cell_length_c 5.6157
_cell_angle_alpha 90.00
_cell_angle_beta 97.85
_cell_angle_gamma 90.00
loop_
_symmetry_equiv_pos_as_xyz
'x,y,z'
loop_
_atom_site_label
_atom_site_type_symbol
_atom_site_fract_x
_atom_site_fract_y
_atom_site_fract_z
Ga1 Ga 0.2982 0.4873 0.9799
Ga2 Ga 0.7018 0.5127 0.0201
Ga3 Ga 0.2982 0.0127 0.9799
Ga4 Ga 0.7018 0.9873 0.0201
Ga5 Ga 0.0759 0.2500 0.6012
Ga6 Ga 0.9241 0.7500 0.3988
Tc1 Tc 0.0105 0.2500 0.1329
Tc2 Tc 0.9895 0.7500 0.8671
Rb1 Rb 0.6075 0.2500 0.5096
Rb2 Rb 0.3925 0.7500 0.4904

=====

# Ba4ZnHg2 | Alexandria via LeMat-Bulk | PBE | relaxed
# N(E_F) = 8.43 states/eV/f.u.
# ΔE to the lowest computed polymorph = 0.0 meV per atom
# Total DFT energy (no corrections) = -1.683 eV per atom
# SG = I4/mmm (139)
# ΔE_f = -317 meV per atom
data_Ba4ZnHg2
_symmetry_space_group_name_H-M 'P 1'
_symmetry_Int_Tables_number 1
_cell_length_a 7.2087
_cell_length_b 7.2087
_cell_length_c 7.2087
_cell_angle_alpha 109.28
_cell_angle_beta 109.57
_cell_angle_gamma 109.57
loop_
_symmetry_equiv_pos_as_xyz
'x,y,z'
loop_
_atom_site_label
_atom_site_type_symbol
_atom_site_fract_x
_atom_site_fract_y
_atom_site_fract_z
Ba1 Ba 0.5000 0.0000 0.0000
Ba2 Ba 0.5000 0.5000 0.5000
Ba3 Ba 0.0000 0.0000 0.5000
Ba4 Ba 0.0000 0.5000 0.0000
Zn1 Zn 0.0000 0.0000 0.0000
Hg1 Hg 0.5000 0.5000 0.0000
Hg2 Hg 0.5000 0.0000 0.5000

=====

What did the second record say?
# LaMn2W | Alexandria via LeMat-Bulk | PBE | relaxed
# N(E_F) = 3.99 states/eV/f.u.
# ΔE to the lowest computed polymorph = 412.3 meV per atom
# Total DFT energy (no corrections) = -8.352 eV per atom
# SG = F-43m (216)
# ΔE_f = 703 meV per atom
data_LaMn2W
_symmetry_space_group_name_H-M 'P 1'
_symmetry_Int_Tables_number 1
_cell_length_a 4.6413
_cell_length_b 4.6413
_cell_length_c 4.6413
_cell_angle_alpha 120.01
_cell_angle_beta 120.01
_cell_angle_gamma 89.98
loop_
_symmetry_equiv_pos_as_xyz
'x,y,z'
loop_
_atom_site_label
_atom_site_type_symbol
_atom_site_fract_x
_atom_site_fract_y
_atom_site_fract_z
La1 La 0.7500 0.2500 0.5000
Mn1 Mn 0.0000 0.0000 0.0000
Mn2 Mn 0.2500 0.7500 0.5000
W1 W 0.5000 0.5000 0.0000